Here is a geometry-optimized KZnI2 structure from Alexandria via LeMat-Bulk. Energies are from PBE-GGA.

Cell lengths 7.034, 7.034, 16.131 Å; angles 90.00, 90.00, 90.00 degrees
Space group I-42d (No. 122)
Symmetry-distinct sites (fractional):
K (0.000, 0.000, 0.000) x4
Zn (0.000, 0.000, 0.500) x4
I (0.173, 0.250, 0.625) x8

Values from the calculation:
energy above the most stable polymorph in this dataset	0.00	eV/f.u.
DOS(E_F)	0.36	states/eV per cell
total energy	-8.18	eV/f.u.
uncorrected formation energy	-676	meV per atom